Material: AcPuPd10
Method: DFT, PBE-GGA
State: optimized geometry

Cell and atoms, written as CIF:
```
data_AcPuPd10
_cell_length_a 4.512
_cell_length_b 5.381
_cell_length_c 9.356
_cell_angle_alpha 90.00
_cell_angle_beta 90.00
_cell_angle_gamma 90.00
_symmetry_space_group_name_H-M 'P m m m'
_symmetry_Int_Tables_number 47
loop_
_symmetry_equiv_pos_as_xyz
'x,y,z'
'-x,-y,-z'
'-x,-y,z'
'x,y,-z'
'x,-y,-z'
'-x,y,z'
'-x,y,-z'
'x,-y,z'
loop_
_atom_site_label
_atom_site_fract_x
_atom_site_fract_y
_atom_site_fract_z
Ac1 0.000 0.000 0.000
Pu1 0.000 0.500 0.500
Pd1 0.000 0.000 0.341
Pd2 0.000 0.500 0.177
Pd3 0.500 0.000 0.500
Pd4 0.500 0.251 0.253
Pd5 0.500 0.500 0.000
```

Summary:
VASP energy: -0.23183 Ha/atom
Calculated formation energy: -0.44 eV per atom
N(E_F): 25.37 states/eV/f.u.